SmY3Er8: relaxed, PBE.

```
SmY3Er8
1.0
-3.1908 5.6198 5.6349
3.1908 -5.6198 5.6349
3.1908 5.6198 -5.6349
Sm Y Er
1 3 8
Direct
0.0000 0.0000 0.0000 Sm
0.2523 0.7523 0.5000 Y
0.5000 0.5000 0.0000 Y
0.7477 0.2477 0.5000 Y
0.0811 0.2503 0.8308 Er
0.2525 0.2484 0.5009 Er
0.2525 0.7516 0.0041 Er
0.4195 0.2503 0.1692 Er
0.5805 0.7497 0.8308 Er
0.7475 0.2484 0.9959 Er
0.7475 0.7516 0.4991 Er
0.9189 0.7497 0.1692 Er
```

**Total magnetization**: 0.0 μB/cell
**DFT formation energy**: 0.311 eV per atom
**Crystal system**: orthorhombic
**V**: 33.68 Å³ per atom
**E**: -4.740 eV/atom

Sm4YEr2: relaxed, PBE.

```
Sm4YEr2
1.0
0.0000 12.0519 3.2184
5.9449 0.0000 3.2184
5.9449 12.0519 0.0000
Sm Y Er
8 2 4
Direct
0.0172 0.9828 0.1239 Sm
0.1261 0.3739 0.2328 Sm
0.3739 0.1261 0.2672 Sm
0.4560 0.6044 0.2569 Sm
0.5673 0.9931 0.6456 Sm
0.6044 0.4560 0.6827 Sm
0.9828 0.0172 0.8761 Sm
0.9931 0.5673 0.7940 Sm
0.4929 0.4929 0.5071 Y
0.7429 0.7429 0.7571 Y
0.0673 0.5492 0.0019 Er
0.2481 0.8683 0.1827 Er
0.5492 0.0673 0.3817 Er
0.8683 0.2481 0.7008 Er
```

**Total magnetization**: 0.0 μB/cell
**DFT formation energy**: 0.053 eV per atom
**Crystal system**: orthorhombic
**V**: 32.94 Å³ per atom
**E**: -4.871 eV/atom